Entry 1:
The following is a DFT calculation (PBE-GGA) of a geometry-optimized Rb3Dy structure.

a = 6.3650 Å, b = 6.3650 Å, c = 6.3650 Å
α = 90.00°, β = 90.00°, γ = 90.00°
Last column: nearest neighbours and their distance in Å.
Fractional positions:
Rb: 0.0000 0.0000 0.5000  4 Dy 4.50, 8 Rb 4.50
Rb: 0.0000 0.5000 0.0000  4 Dy 4.50, 8 Rb 4.50
Rb: 0.5000 0.0000 0.0000  4 Dy 4.50, 8 Rb 4.50
Dy: 0.5000 0.5000 0.5000  12 Rb 4.50

Calculated values
As for the offset from the most stable computed form: 6.5 meV per atom. Its total moment is 0.55 μB per formula unit. For the electronic total energy, the calculation gives -0.092 Ry/atom. As for the density of states at the Fermi level: 6.0 states/eV per cell. The calculation puts the formation energy from the elements at 0.629 eV per atom.

Entry 2:
The following is a DFT calculation (PBE-GGA) of a geometry-optimized Rb3Dy structure.

a = 10.1647 Å, b = 10.1647 Å, c = 10.1647 Å
α = 90.00°, β = 90.00°, γ = 90.00°
Last column: nearest neighbours and their distance in Å.
Fractional positions:
Rb: 0.0000 0.0000 0.0000  8 Rb 4.40
Rb: 0.0000 0.5000 0.5000  8 Rb 4.40
Rb: 0.2500 0.2500 0.2500  4 Dy 4.40, 4 Rb 4.40
Rb: 0.2500 0.2500 0.7500  4 Dy 4.40, 4 Rb 4.40
Rb: 0.2500 0.7500 0.2500  4 Dy 4.40, 4 Rb 4.40
Rb: 0.2500 0.7500 0.7500  4 Dy 4.40, 4 Rb 4.40
Rb: 0.5000 0.0000 0.5000  8 Rb 4.40
Rb: 0.5000 0.5000 0.0000  8 Rb 4.40
Rb: 0.7500 0.2500 0.2500  4 Dy 4.40, 4 Rb 4.40
Rb: 0.7500 0.2500 0.7500  4 Dy 4.40, 4 Rb 4.40
Rb: 0.7500 0.7500 0.2500  4 Dy 4.40, 4 Rb 4.40
Rb: 0.7500 0.7500 0.7500  4 Dy 4.40, 4 Rb 4.40
Dy: 0.0000 0.0000 0.5000  8 Rb 4.40
Dy: 0.0000 0.5000 0.0000  8 Rb 4.40
Dy: 0.5000 0.0000 0.0000  8 Rb 4.40
Dy: 0.5000 0.5000 0.5000  8 Rb 4.40

Calculated values
As for the offset from the most stable computed form: 9.5 meV per atom. Its total moment is 0.00 μB per formula unit. For the electronic total energy, the calculation gives -0.091 Ry/atom. As for the density of states at the Fermi level: 28.2 states/eV per cell. The calculation puts the formation energy from the elements at 0.632 eV per atom.

Entry 3:
The following is a DFT calculation (PBE-GGA) of a geometry-optimized Rb3Dy3ReS8 structure.

a = 9.0656 Å, b = 9.0656 Å, c = 9.0656 Å
α = 51.47°, β = 51.47°, γ = 51.47°
Last column: nearest neighbours and their distance in Å.
Fractional positions:
Rb: 0.0000 0.5000 0.5000  6 S 3.32-3.33
Rb: 0.5000 0.0000 0.5000  6 S 3.32-3.33
Rb: 0.5000 0.5000 0.0000  6 S 3.32-3.33
Dy: 0.0000 0.0000 0.5000  6 S 2.73-2.76
Dy: 0.0000 0.5000 0.0000  6 S 2.73-2.76
Dy: 0.5000 0.0000 0.0000  6 S 2.73-2.76
Re: 0.5000 0.5000 0.5000  6 S 2.50
S: 0.2308 0.2308 0.2308  3 Dy 2.73
S: 0.2562 0.7114 0.7114  1 Re 2.50, 2 Dy 2.76
S: 0.2886 0.2886 0.7438  1 Re 2.50, 2 Dy 2.76
S: 0.2886 0.7438 0.2886  1 Re 2.50, 2 Dy 2.76
S: 0.7114 0.2562 0.7114  1 Re 2.50, 2 Dy 2.76
S: 0.7114 0.7114 0.2562  1 Re 2.50, 2 Dy 2.76
S: 0.7438 0.2886 0.2886  1 Re 2.50, 2 Dy 2.76
S: 0.7692 0.7692 0.7692  3 Dy 2.73

Calculated values
The uncorrected formation energy is -1468 meV/atom. Its total moment is 3.00 μB per formula unit. For the electronic total energy, the calculation gives -0.413 Ry/atom.

Entry 4:
The following is a DFT calculation (PBE-GGA) of a geometry-optimized RbDy2Rh structure.

a = 4.0960 Å, b = 4.0960 Å, c = 33.2211 Å
α = 90.00°, β = 90.00°, γ = 120.00°
Last column: nearest neighbours and their distance in Å.
Fractional positions:
Rb: 0.0000 0.0000 0.0000  6 Rb 4.10, 2 Dy 4.13
Rb: 0.3333 0.6667 0.6667  6 Rb 4.10, 2 Dy 4.13
Rb: 0.6667 0.3333 0.3333  6 Rb 4.10, 2 Dy 4.13
Dy: 0.0000 0.0000 0.1243  3 Rh 2.75
Dy: 0.0000 0.0000 0.8757  3 Rh 2.75
Dy: 0.3333 0.6667 0.5424  3 Rh 2.75
Dy: 0.3333 0.6667 0.7910  3 Rh 2.75
Dy: 0.6667 0.3333 0.2090  3 Rh 2.75
Dy: 0.6667 0.3333 0.4576  3 Rh 2.75
Rh: 0.0000 0.0000 0.5000  6 Dy 2.75
Rh: 0.3333 0.6667 0.1667  6 Dy 2.75
Rh: 0.6667 0.3333 0.8333  6 Dy 2.75

Calculated values
Its total moment is 0.00 μB per formula unit. For the electronic total energy, the calculation gives -0.341 Ry/atom. As for the density of states at the Fermi level: 11.0 states/eV per cell. The calculation puts the formation energy from the elements at -0.257 eV per atom.

Entry 5:
The following is a DFT calculation (PBE-GGA) of a geometry-optimized RbDyS4 structure.

a = 5.9620 Å, b = 5.9620 Å, c = 8.3203 Å
α = 90.00°, β = 90.00°, γ = 90.00°
Last column: nearest neighbours and their distance in Å.
Fractional positions:
Rb: 0.2500 0.2500 0.0000  8 S 3.46
Rb: 0.7500 0.7500 0.0000  8 S 3.46
Dy: 0.2500 0.2500 0.5000  8 S 2.86
Dy: 0.7500 0.7500 0.5000  8 S 2.86
S: 0.1246 0.6246 0.3047  1 S 2.12
S: 0.1246 0.8754 0.6953  1 S 2.12
S: 0.3754 0.6246 0.6953  1 S 2.12
S: 0.3754 0.8754 0.3047  1 S 2.12
S: 0.6246 0.1246 0.6953  1 S 2.12
S: 0.6246 0.3754 0.3047  1 S 2.12
S: 0.8754 0.1246 0.3047  1 S 2.12
S: 0.8754 0.3754 0.6953  1 S 2.12

Calculated values
The uncorrected formation energy is -1212 meV/atom. Its total moment is 0.00 μB per formula unit. For the electronic total energy, the calculation gives -0.360 Ry/atom.

Entry 6:
The following is a DFT calculation (PBE-GGA) of a geometry-optimized RbDyS2 structure.

a = 4.0631 Å, b = 4.0631 Å, c = 23.3831 Å
α = 90.00°, β = 90.00°, γ = 120.00°
Last column: nearest neighbours and their distance in Å.
Fractional positions:
Rb: 0.0000 0.0000 0.0000  6 S 3.32-3.40
Rb: 0.3333 0.6667 0.6667  6 S 3.32-3.40
Rb: 0.6667 0.3333 0.3333  6 S 3.32-3.40
Dy: 0.0000 0.0000 0.8309  6 S 2.78
Dy: 0.3333 0.6667 0.4976  6 S 2.78
Dy: 0.6667 0.3333 0.1642  6 S 2.78
S: 0.0000 0.0000 0.2278  3 Dy 2.78
S: 0.0000 0.0000 0.4338  3 Dy 2.78
S: 0.3333 0.6667 0.1005  3 Dy 2.78
S: 0.3333 0.6667 0.8945  3 Dy 2.78
S: 0.6667 0.3333 0.5611  3 Dy 2.78
S: 0.6667 0.3333 0.7672  3 Dy 2.78

Calculated values
The uncorrected formation energy is -1835 meV/atom. Its total moment is 0.00 μB per formula unit. For the electronic total energy, the calculation gives -0.389 Ry/atom. As for the density of states at the Fermi level: 0.0 states/eV per cell.

Entry 7:
The following is a DFT calculation (PBE-GGA) of a geometry-optimized RbDy6S8 structure.

a = 7.7801 Å, b = 7.7801 Å, c = 7.7801 Å
α = 93.29°, β = 93.29°, γ = 93.29°
Last column: nearest neighbours and their distance in Å.
Fractional positions:
Rb: 0.0000 0.0000 0.0000  2 S 3.22
Dy: 0.1947 0.3813 0.5681  5 S 2.66-2.80
Dy: 0.3813 0.5681 0.1947  5 S 2.66-2.80
Dy: 0.4319 0.8053 0.6187  5 S 2.66-2.80
Dy: 0.5681 0.1947 0.3813  5 S 2.66-2.80
Dy: 0.6187 0.4319 0.8053  5 S 2.66-2.80
Dy: 0.8053 0.6187 0.4319  5 S 2.66-2.80
S: 0.1444 0.6901 0.4096  4 Dy 2.68-2.80
S: 0.2537 0.2537 0.2537  3 Dy 2.66
S: 0.3099 0.5904 0.8556  4 Dy 2.68-2.80
S: 0.4096 0.1444 0.6901  4 Dy 2.68-2.80
S: 0.5904 0.8556 0.3099  4 Dy 2.68-2.80
S: 0.6901 0.4096 0.1444  4 Dy 2.68-2.80
S: 0.7463 0.7463 0.7463  3 Dy 2.66
S: 0.8556 0.3099 0.5904  4 Dy 2.68-2.80

Calculated values
The uncorrected formation energy is -1821 meV/atom. Its total moment is 0.04 μB per formula unit. For the electronic total energy, the calculation gives -0.436 Ry/atom. As for the density of states at the Fermi level: 8.2 states/eV per cell.

Entry 8:
The following is a DFT calculation (PBE-GGA) of a geometry-optimized RbDyS2 structure.

a = 4.0821 Å, b = 4.0821 Å, c = 23.0510 Å
α = 90.00°, β = 90.00°, γ = 120.00°
Last column: nearest neighbours and their distance in Å.
Fractional positions:
Rb: 0.0000 0.0000 0.0000  6 S 3.34
Rb: 0.3333 0.6667 0.6667  6 S 3.34
Rb: 0.6667 0.3333 0.3333  6 S 3.34
Dy: 0.0000 0.0000 0.5000  6 S 2.78
Dy: 0.3333 0.6667 0.1667  6 S 2.78
Dy: 0.6667 0.3333 0.8333  6 S 2.78
S: 0.0000 0.0000 0.2306  3 Dy 2.78
S: 0.0000 0.0000 0.7694  3 Dy 2.78
S: 0.3333 0.6667 0.4361  3 Dy 2.78
S: 0.3333 0.6667 0.8972  3 Dy 2.78
S: 0.6667 0.3333 0.1028  3 Dy 2.78
S: 0.6667 0.3333 0.5639  3 Dy 2.78

Calculated values
The uncorrected formation energy is -1856 meV/atom. Its total moment is 0.00 μB per formula unit. For the electronic total energy, the calculation gives -0.390 Ry/atom. As for the density of states at the Fermi level: 0.0 states/eV per cell.

Entry 9:
The following is a DFT calculation (PBE-GGA) of a geometry-optimized RbDy4S6 structure.

a = 6.9012 Å, b = 6.9012 Å, c = 21.0971 Å
α = 90.00°, β = 90.00°, γ = 146.59°
Last column: nearest neighbours and their distance in Å.
Fractional positions:
Rb: 0.1516 0.8484 0.7500  6 S 3.23-3.30
Rb: 0.8484 0.1516 0.2500  6 S 3.23-3.30
Dy: 0.1004 0.8996 0.1329  5 S 2.58-2.85
Dy: 0.1004 0.8996 0.3671  5 S 2.58-2.85
Dy: 0.3690 0.6310 0.0406  6 S 2.63-2.83
Dy: 0.3690 0.6310 0.4594  6 S 2.63-2.83
Dy: 0.6310 0.3690 0.5406  6 S 2.63-2.83
Dy: 0.6310 0.3690 0.9594  6 S 2.63-2.83
Dy: 0.8996 0.1004 0.6329  5 S 2.58-2.85
Dy: 0.8996 0.1004 0.8671  5 S 2.58-2.85
S: 0.0000 0.0000 0.0000  4 Dy 2.77
S: 0.0000 0.0000 0.5000  4 Dy 2.77
S: 0.1558 0.8442 0.2500  2 Dy 2.58
S: 0.2707 0.7293 0.5787  5 Dy 2.83-2.85
S: 0.2707 0.7293 0.9213  5 Dy 2.83-2.85
S: 0.4667 0.5333 0.1492  3 Dy 2.63-2.68
S: 0.4667 0.5333 0.3508  3 Dy 2.63-2.68
S: 0.5333 0.4667 0.6492  3 Dy 2.63-2.68
S: 0.5333 0.4667 0.8508  3 Dy 2.63-2.68
S: 0.7293 0.2707 0.0787  5 Dy 2.83-2.85
S: 0.7293 0.2707 0.4213  5 Dy 2.83-2.85
S: 0.8442 0.1558 0.7500  2 Dy 2.58

Calculated values
The uncorrected formation energy is -1944 meV/atom. Its total moment is 0.00 μB per formula unit. For the electronic total energy, the calculation gives -0.438 Ry/atom. As for the density of states at the Fermi level: 4.0 states/eV per cell.

Entry 10:
The following is a DFT calculation (PBE-GGA) of a geometry-optimized RbDy2S3 structure.

a = 7.9966 Å, b = 7.9966 Å, c = 10.7352 Å
α = 90.00°, β = 90.00°, γ = 147.67°
Last column: nearest neighbours and their distance in Å.
Fractional positions:
Rb: 0.2342 0.7658 0.7500  8 S 3.52-3.91
Rb: 0.7658 0.2342 0.2500  8 S 3.52-3.91
Dy: 0.0297 0.9703 0.2500  4 S 2.58-2.59
Dy: 0.5000 0.5000 0.0000  6 S 2.82-2.88
Dy: 0.5000 0.5000 0.5000  6 S 2.82-2.88
Dy: 0.9703 0.0297 0.7500  4 S 2.58-2.59
S: 0.1147 0.8853 0.0423  3 Dy 2.58-2.88
S: 0.1147 0.8853 0.4577  3 Dy 2.58-2.88
S: 0.4430 0.5570 0.2500  4 Dy 2.59-2.82
S: 0.5570 0.4430 0.7500  4 Dy 2.59-2.82
S: 0.8853 0.1147 0.5423  3 Dy 2.58-2.88
S: 0.8853 0.1147 0.9577  3 Dy 2.58-2.88

Calculated values
The uncorrected formation energy is -1636 meV/atom. Its total moment is 0.00 μB per formula unit. For the electronic total energy, the calculation gives -0.397 Ry/atom. As for the density of states at the Fermi level: 5.7 states/eV per cell.

Entry 11:
The following is a DFT calculation (PBE-GGA) of a geometry-optimized Rb5DyS4 structure.

a = 10.3162 Å, b = 10.3162 Å, c = 8.5571 Å
α = 114.45°, β = 114.45°, γ = 25.28°
Last column: nearest neighbours and their distance in Å.
Fractional positions:
Rb: 0.0000 0.0000 0.0000  4 S 3.33
Rb: 0.3311 0.3311 0.0807  3 S 3.10-3.12
Rb: 0.3310 0.3310 0.5821  3 S 3.10-3.12
Rb: 0.6690 0.6690 0.4179  3 S 3.10-3.12
Rb: 0.6689 0.6689 0.9193  3 S 3.10-3.12
Dy: 0.0000 0.0000 0.5000  6 S 2.90-2.91
S: 0.1590 0.1590 0.6588  1 Dy 2.90, 4 Rb 3.12
S: 0.5000 0.5000 0.2856  2 Dy 2.91, 2 Rb 3.10
S: 0.5000 0.5000 0.7144  2 Dy 2.91, 2 Rb 3.10
S: 0.8410 0.8410 0.3412  1 Dy 2.90, 4 Rb 3.12

Calculated values
The uncorrected formation energy is -1185 meV/atom. Its total moment is 0.00 μB per formula unit. For the electronic total energy, the calculation gives -0.278 Ry/atom.

Entry 12:
The following is a DFT calculation (PBE-GGA) of a geometry-optimized RbDy5S8 structure.

a = 10.4396 Å, b = 10.4396 Å, c = 9.6946 Å
α = 104.40°, β = 104.40°, γ = 22.11°
Last column: nearest neighbours and their distance in Å.
Fractional positions:
Rb: 0.0000 0.0000 0.0000  4 S 3.61-3.62, 2 Rb 4.00
Dy: 0.1555 0.1555 0.4431  6 S 2.67-2.91
Dy: 0.2026 0.2026 0.8379  6 S 2.67-2.90
Dy: 0.5000 0.5000 0.4993  6 S 2.72-2.77
Dy: 0.7974 0.7974 0.1608  6 S 2.67-2.90
Dy: 0.8445 0.8445 0.5556  6 S 2.67-2.91
S: 0.0796 0.0796 0.6400  4 Dy 2.72-2.75
S: 0.2724 0.2724 0.3572  5 Dy 2.73-2.91
S: 0.3292 0.3292 0.0082  3 Dy 2.67-2.70
S: 0.4204 0.4204 0.6919  3 Dy 2.67-2.77
S: 0.5796 0.5796 0.3066  3 Dy 2.67-2.77
S: 0.6708 0.6708 0.9904  3 Dy 2.67-2.70
S: 0.7276 0.7276 0.6415  5 Dy 2.73-2.91
S: 0.9204 0.9204 0.3585  4 Dy 2.72-2.75

Calculated values
The uncorrected formation energy is -2008 meV/atom. Its total moment is 0.00 μB per formula unit. For the electronic total energy, the calculation gives -0.447 Ry/atom. As for the density of states at the Fermi level: 0.0 states/eV per cell.